No. 1
{
  "formula": "Pm4In3Ir",
  "functional": "GGA-PBE",
  "state": "optimized geometry",
  "magmom_total_mub_per_atom": 0.000,
  "formation_energy_ev_per_atom": -0.4895,
  "sg": "Pmm2",
  "lattice": [[4.019, 0.000, 0.000], [0.000, 4.791, 0.000], [0.000, 0.000, 11.690]],
  "species": ["Pm", "Pm", "Pm", "Pm", "Ir", "In", "In", "In"],
  "frac_coords": [[0.500, 0.500, 0.323], [0.000, 0.000, 0.140], [0.000, 0.500, 0.885], [0.500, 0.000, 0.654], [0.500, 0.500, 0.073], [0.500, 0.000, 0.928], [0.000, 0.000, 0.419], [0.000, 0.500, 0.578]]
}



No. 2
{
  "formula": "TiTcPO2",
  "functional": "GGA-PBE",
  "state": "optimized geometry",
  "magmom_total_mub_per_atom": 0.282,
  "raw_formation_energy_ev_per_atom": -0.752,
  "sg": "P4/mmm",
  "lattice": [[3.738, 0.000, 0.000], [0.000, 3.738, 0.000], [0.000, 0.000, 5.354]],
  "species": ["O", "O", "P", "Ti", "Tc"],
  "frac_coords": [[0.000, 0.500, 0.000], [0.500, 0.000, 0.000], [0.000, 0.000, 0.500], [0.500, 0.500, 0.500], [0.000, 0.000, 0.000]]
}



Number 1: excess energy over the best structure of this formula in the dataset 39 meV/atom, total DFT energy (no corrections) -39.995 eV/f.u.. Number 2: excess energy over the best structure of this formula in the dataset 188 meV/atom, total DFT energy (no corrections) -37.347 eV/f.u..